# SCAN AlPt2Cl, single point on PBEsol structure
data_AlPt2Cl
_cell_length_a 5.6183
_cell_length_b 7.6477
_cell_length_c 2.8590
_cell_angle_alpha 90.00
_cell_angle_beta 90.00
_cell_angle_gamma 90.00
_space_group_name_H-M_alt 'C m m m'
_space_group_IT_number 65
_space_group_name_Hall '-C 2 2'
loop_
_atom_site_label
_atom_site_type_symbol
_atom_site_fract_x
_atom_site_fract_y
_atom_site_fract_z
_atom_site_occupancy
Al1 Al 0.0000 0.0000 0.0000 1
Pt1 Pt 0.2500 0.2500 0.5000 1
Cl1 Cl 0.0000 0.5000 0.0000 1
# formation energy (no corrections) = 111.2 meV/atom
# DOS(E_F) = 6.133 states/eV/cell
# total moment = 0.00 μB per cell